5
Lattice="3.4940 0.0000 0.9229 1.4947 2.9652 1.4166 -2.3709 2.3029 16.0516" Properties=species:S:1:pos:R:3 comment="GGA-PBE Pm2DyY2, optimized geometry" ef_ev_per_atom=0.01 relative_energy_ev_per_fu=0.00 mass_density_g_cm3=6.36 dos_at_fermi_per_ev_atom=1.34 pbc="T T T"
Pm 1.2139 1.4947 2.4798
Pm 1.4039 3.7734 15.9114
Dy 1.3089 2.6341 9.1956
Y 0.4483 3.7105 12.4539
Y 2.1695 1.5577 5.9373